Entry 1:
! TcPt2Rh, relaxed, DFT GGA-PBEsol; values from VASP
! - energy above the lowest structure with this stoichiometry (meV per atom) = 81
! - calculated formation energy (kJ/mol of atoms) = -8
! - space group = C2/m
&SYSTEM
  ibrav = 0, nat = 4, ntyp = 3
/
ATOMIC_SPECIES
Rh 102.91 Rh.upf
Tc 98.00 Tc.upf
Pt 195.08 Pt.upf
ATOMIC_POSITIONS crystal
Rh 0.5000 0.0000 0.0000
Tc 0.0000 0.5000 0.0000
Pt 0.2515 0.2540 0.5029
Pt 0.7485 0.7460 0.4971
CELL_PARAMETERS angstrom
2.7119 0.0000 0.0000
0.0000 4.7113 0.0011
-1.3559 -0.7750 4.4577

Entry 2:
! TcPtRh, relaxed, DFT GGA-PBEsol; values from VASP
! - energy above the lowest structure with this stoichiometry (meV per atom) = 0
! - calculated formation energy (kJ/mol of atoms) = -19
! - space group = Imm2
&SYSTEM
  ibrav = 0, nat = 3, ntyp = 3
/
ATOMIC_SPECIES
Rh 102.91 Rh.upf
Tc 98.00 Tc.upf
Pt 195.08 Pt.upf
ATOMIC_POSITIONS crystal
Rh 0.6723 0.6723 0.3445
Tc 0.3293 0.3293 0.6587
Pt 0.9984 0.9984 0.9968
CELL_PARAMETERS angstrom
2.6955 0.0000 0.0000
0.0000 3.8275 0.0000
-1.3478 -1.9138 4.0639

Number 1 is which compound?
TcPt2Rh